YNO2F, optimized geometry, DFT PBE; formation energy from raw total energies = -0.854 eV/atom; density of states at the Fermi level = 0.52 states/eV/cell; space-group type = P4/mmm (123); ρ = 4.9 g cm⁻³; calculated volume = 51.8 Å³/cell
1.0
-3.3742 1.7386 -0.1366
-1.4150 -2.9033 -1.9987
-0.9638 -1.6307 3.0511
O F Y N
2 1 1 1
direct
0.5000 0.0000 0.0000
0.0000 0.5000 0.0000
0.0000 0.0000 0.5000
0.5000 0.5000 0.5000
0.0000 0.0000 0.0000